## Rb2HgRuO (SCAN)

Data for a PBEsol-optimized structure of Rb2HgRuO.

a = 6.4711 Å, b = 6.4711 Å, c = 5.0554 Å
α = 90.00°, β = 90.00°, γ = 90.00°
Sites, in units of the cell vectors:
Rb1 0.0000 0.5000 0.0000
Rb2 0.5000 0.0000 0.0000
Hg1 0.0000 0.0000 0.0000
Ru1 0.0000 0.0000 0.5000
O1 0.5000 0.5000 0.5000

Raw formation energy ... 0.8073 eV/atom
Raw total energy ... -29.33 eV per atom
Spin magnetization ... 3.3 μB per cell

***

## TiRe2HgO (SCAN)

Data for a PBEsol-optimized structure of TiRe2HgO.

a = 4.4855 Å, b = 4.4855 Å, c = 5.1375 Å
α = 90.00°, β = 90.00°, γ = 90.00°
Sites, in units of the cell vectors:
Ti1 0.0000 0.0000 0.0000
Re1 0.0000 0.5000 0.0000
Re2 0.5000 0.0000 0.0000
Hg1 0.0000 0.0000 0.5000
O1 0.5000 0.5000 0.5000

Raw formation energy ... 2.2797 eV/atom
Raw total energy ... -44.24 eV per atom
Spin magnetization ... 3.0 μB per cell

***

## HgRh3O (SCAN)

Data for a PBEsol-optimized structure of HgRh3O.

a = 4.1019 Å, b = 4.1019 Å, c = 4.1019 Å
α = 90.00°, β = 90.00°, γ = 90.00°
Sites, in units of the cell vectors:
Hg1 0.0000 0.0000 0.0000
Rh1 0.0000 0.5000 0.5000
Rh2 0.5000 0.0000 0.5000
Rh3 0.5000 0.5000 0.0000
O1 0.5000 0.5000 0.5000

Raw formation energy ... 0.1186 eV/atom
Raw total energy ... -35.02 eV per atom
Spin magnetization ... 1.3 μB per cell

***

## HgRuO3 (SCAN)

Data for a PBEsol-optimized structure of HgRuO3.

a = 4.1124 Å, b = 4.1124 Å, c = 4.1124 Å
α = 90.00°, β = 90.00°, γ = 90.00°
Sites, in units of the cell vectors:
Hg1 0.0000 0.0000 0.0000
Ru1 0.5000 0.5000 0.5000
O1 0.0000 0.0000 0.5000
O2 0.0000 0.5000 0.0000
O3 0.5000 0.0000 0.0000

Raw formation energy ... 0.8649 eV/atom
Raw total energy ... -23.47 eV per atom
Spin magnetization ... 4.4 μB per cell

***

## Hg2SO (SCAN)

Data for a PBEsol-optimized structure of Hg2SO.

a = 6.3860 Å, b = 6.3860 Å, c = 6.3860 Å
α = 90.00°, β = 90.00°, γ = 90.00°
Sites, in units of the cell vectors:
Hg1 0.2500 0.2500 0.2500
Hg2 0.2500 0.2500 0.7500
Hg3 0.2500 0.7500 0.2500
Hg4 0.2500 0.7500 0.7500
Hg5 0.7500 0.2500 0.2500
Hg6 0.7500 0.2500 0.7500
Hg7 0.7500 0.7500 0.2500
Hg8 0.7500 0.7500 0.7500
S1 0.0000 0.0000 0.0000
S2 0.0000 0.5000 0.5000
S3 0.5000 0.0000 0.5000
S4 0.5000 0.5000 0.0000
O1 0.0000 0.0000 0.5000
O2 0.0000 0.5000 0.0000
O3 0.5000 0.0000 0.0000
O4 0.5000 0.5000 0.5000

Raw formation energy ... 0.4566 eV/atom
Raw total energy ... -37.59 eV per atom
Spin magnetization ... 0.8 μB per cell

***

## Hg2Sb2O7 (SCAN)

Data for a PBEsol-optimized structure of Hg2Sb2O7.

a = 7.3684 Å, b = 7.3684 Å, c = 7.3684 Å
α = 60.00°, β = 60.00°, γ = 60.00°
Sites, in units of the cell vectors:
Hg1 0.0000 0.0000 0.0000
Hg2 0.0000 0.0000 0.5000
Hg3 0.0000 0.5000 0.0000
Hg4 0.5000 0.0000 0.0000
Sb1 0.0000 0.5000 0.5000
Sb2 0.5000 0.0000 0.5000
Sb3 0.5000 0.5000 0.0000
Sb4 0.5000 0.5000 0.5000
O1 0.1250 0.1250 0.1250
O2 0.1781 0.1781 0.5719
O3 0.1781 0.5719 0.1781
O4 0.1781 0.5719 0.5719
O5 0.4281 0.4281 0.8219
O6 0.4281 0.8219 0.4281
O7 0.4281 0.8219 0.8219
O8 0.5719 0.1781 0.1781
O9 0.5719 0.1781 0.5719
O10 0.5719 0.5719 0.1781
O11 0.8219 0.4281 0.4281
O12 0.8219 0.4281 0.8219
O13 0.8219 0.8219 0.4281
O14 0.8750 0.8750 0.8750

Raw formation energy ... -1.1374 eV/atom
Raw total energy ... -24.27 eV per atom
Spin magnetization ... 0.0 μB per cell